# 1
Computed, not measured: NaYMg after structural relaxation at the GGA-PBE level of DFT.

a b c (Å): 3.285 5.519 5.519
angles (deg): 120.00 90.00 90.00
Element x y z (fractional)
Y: 0.333 0.333 0.667
Na: 0.835 0.000 0.000
Mg: 0.832 0.667 0.333

- mass density (g/cm3) = 2.610
- E above lowest polymorph (eV/atom) = 0.0567
- ΔH_f (0 K) (eV per atom) = 0.1617
- space group = P3m1
- density of states at the Fermi level (states/eV/cell) = 2.79
- VASP energy (eV/atom) = -2.964

# 2
Computed, not measured: CdCo2Ir after structural relaxation at the GGA-PBE level of DFT.

a b c (Å): 2.899 2.899 6.776
angles (deg): 90.00 90.00 90.00
Element x y z (fractional)
Co: 0.000 0.000 0.047
Co: 0.500 0.500 0.231
Cd: 0.500 0.500 0.763
Ir: 0.000 0.000 0.459

- mass density (g/cm3) = 12.322
- ΔH_f (0 K) (eV per atom) = 0.2038
- space group = P4mm
- density of states at the Fermi level (states/eV/cell) = 4.85
- VASP energy (eV/atom) = -5.793

- Among the records above, which one has the highest density of states at the Fermi level?
  CdCo2Ir